## Cr2AgRu (GGA-PBEsol)

Data for a relaxed structure of Cr2AgRu.

```
Cr2AgRu
1.0
-1.898 1.898 3.698
1.898 -1.898 3.698
1.898 1.898 -3.698
Cr Ag Ru
2 1 1
direct
0.000 0.000 0.000 Cr
0.750 0.250 0.500 Cr
0.250 0.750 0.500 Ag
0.500 0.500 0.000 Ru
```

Total magnetic moment, μB per atom: 0.26
Calculated density, g/cm³: 9.75
Calculated formation energy, meV/atom: 534